Tl4HgBi: optimized geometry, GGA-PBE.

a b c (Å): 9.1904 9.1904 9.1904
angles (deg): 90.00 90.00 90.00
Last column: nearest neighbours and their distance in Å.
Space group F-43m (No. 216)
Asymmetric unit:
Tl (0.1254, 0.1254, 0.1254)  6 Tl 3.24-3.26
Hg (0.2500, 0.2500, 0.7500)  12 Tl 3.81, 4 Bi 3.98
Bi (0.0000, 0.0000, 0.5000)  12 Tl 3.81, 4 Hg 3.98

Calculated values
formation enthalpy at 0 K	0.114	eV per atom
size of the total moment	0.00	μB/f.u.
electronic total energy	-12.963	eV/f.u.
theoretical density	10.50	Mg/m³
energy relative to the lowest polymorph listed for this composition	0.110	eV per atom

TlHg2Bi: optimized geometry, GGA-PBE.

a b c (Å): 3.3629 5.9249 12.5414
angles (deg): 90.00 90.00 90.00
Last column: nearest neighbours and their distance in Å.
Space group Immm (No. 71)
Asymmetric unit:
Tl (0.0000, 0.0000, 0.0000)  2 Hg 3.14, 2 Tl 3.36, 4 Bi 3.41
Hg (0.0000, 0.0000, 0.2502)  1 Bi 3.13, 1 Tl 3.14, 6 Hg 3.36-3.41
Bi (0.0000, 0.0000, 0.5000)  2 Hg 3.13, 2 Bi 3.36, 4 Tl 3.41

Calculated values
formation enthalpy at 0 K	0.037	eV per atom
size of the total moment	0.00	μB/f.u.
electronic total energy	-6.703	eV/f.u.
theoretical density	10.83	Mg/m³

Tl8Hg5Bi: optimized geometry, GGA-PBE.

a b c (Å): 9.5698 9.5698 9.5876
angles (deg): 90.00 90.00 90.00
Last column: nearest neighbours and their distance in Å.
Space group I-4 (No. 82)
Asymmetric unit:
Tl (0.0667, 0.3332, 0.4403)  5 Hg 3.29-3.51, 1 Bi 3.30, 3 Tl 3.44-3.64
Tl (0.0869, 0.1820, 0.7853)  5 Hg 3.17-3.36, 1 Bi 3.35
Hg (0.0000, 0.5000, 0.7500)  8 Tl 3.17-3.43
Hg (0.1185, 0.2292, 0.1175)  8 Tl 3.22-3.51
Bi (0.0000, 0.0000, 0.5000)  8 Tl 3.30-3.35

Calculated values
formation enthalpy at 0 K	-0.001	eV per atom
size of the total moment	0.00	μB/f.u.
electronic total energy	-24.335	eV/f.u.
theoretical density	10.77	Mg/m³